# 1
# Ba2CoTc | Alexandria | PBE-GGA | optimized geometry
# Offset from the most stable computed form in eV per atom: 0.000
# DFT formation energy in meV per atom: 346
data_Ba2CoTc
_space_group_name_H-M_alt 'C 1 m 1'
_space_group_IT_number 8
_space_group_name_Hall 'C -2y'
_cell_length_a 7.157
_cell_length_b 4.134
_cell_length_c 9.253
_cell_angle_alpha 90.00
_cell_angle_beta 104.51
_cell_angle_gamma 90.00
loop_
_atom_site_label
_atom_site_fract_x
_atom_site_fract_y
_atom_site_fract_z
Ba1 0.000 0.000 0.000
Ba2 0.170 0.000 0.524
Co1 0.418 0.000 0.260
Tc1 0.252 0.500 0.263

# 2
# BaCoTc | Alexandria | PBE-GGA | optimized geometry
# Offset from the most stable computed form in eV per atom: 0.160
# DFT formation energy in meV per atom: 446
data_BaCoTc
_space_group_name_H-M_alt 'C 1 m 1'
_space_group_IT_number 8
_space_group_name_Hall 'C -2y'
_cell_length_a 11.127
_cell_length_b 4.054
_cell_length_c 8.119
_cell_angle_alpha 90.00
_cell_angle_beta 126.36
_cell_angle_gamma 90.00
loop_
_atom_site_label
_atom_site_fract_x
_atom_site_fract_y
_atom_site_fract_z
Ba1 0.000 0.000 0.000
Ba2 0.127 0.000 0.688
Co1 0.322 0.500 0.240
Co2 0.430 0.000 0.273
Tc1 0.189 0.500 0.404
Tc2 0.328 0.000 0.475

# 3
# Ba2CoTc | Alexandria | PBE-GGA | optimized geometry
# Offset from the most stable computed form in eV per atom: 0.153
# DFT formation energy in meV per atom: 500
data_Ba2CoTc
_space_group_name_H-M_alt 'A m m 2'
_space_group_IT_number 38
_space_group_name_Hall 'A 2 -2'
_cell_length_a 4.064
_cell_length_b 4.960
_cell_length_c 12.164
_cell_angle_alpha 90.00
_cell_angle_beta 90.00
_cell_angle_gamma 90.00
loop_
_atom_site_label
_atom_site_fract_x
_atom_site_fract_y
_atom_site_fract_z
Ba1 0.000 0.000 0.000
Ba2 0.500 0.000 0.282
Co1 0.000 0.000 0.680
Tc1 0.500 0.000 0.599

# 4
# BaYCoTc2 | Alexandria | PBE-GGA | optimized geometry
# DFT formation energy in meV per atom: 1536
data_BaYCoTc2
_space_group_name_H-M_alt 'P 4/m m m'
_space_group_IT_number 123
_space_group_name_Hall '-P 4 2'
_cell_length_a 5.155
_cell_length_b 5.155
_cell_length_c 5.021
_cell_angle_alpha 90.00
_cell_angle_beta 90.00
_cell_angle_gamma 90.00
loop_
_atom_site_label
_atom_site_fract_x
_atom_site_fract_y
_atom_site_fract_z
Ba1 0.000 0.000 0.000
Y1 0.500 0.500 0.500
Co1 0.500 0.500 0.000
Tc1 0.000 0.500 0.500

# 5
# BaY2CoTc | Alexandria | PBE-GGA | optimized geometry
# DFT formation energy in meV per atom: 370
data_BaY2CoTc
_space_group_name_H-M_alt 'P 4/m m m'
_space_group_IT_number 123
_space_group_name_Hall '-P 4 2'
_cell_length_a 5.361
_cell_length_b 5.361
_cell_length_c 4.642
_cell_angle_alpha 90.00
_cell_angle_beta 90.00
_cell_angle_gamma 90.00
loop_
_atom_site_label
_atom_site_fract_x
_atom_site_fract_y
_atom_site_fract_z
Ba1 0.000 0.000 0.000
Y1 0.000 0.500 0.500
Co1 0.500 0.500 0.500
Tc1 0.500 0.500 0.000

# 6
# Ba2ZrCoTc | Alexandria | PBE-GGA | optimized geometry
# DFT formation energy in meV per atom: 1230
data_Ba2ZrCoTc
_space_group_name_H-M_alt 'P 4/m m m'
_space_group_IT_number 123
_space_group_name_Hall '-P 4 2'
_cell_length_a 5.967
_cell_length_b 5.967
_cell_length_c 4.398
_cell_angle_alpha 90.00
_cell_angle_beta 90.00
_cell_angle_gamma 90.00
loop_
_atom_site_label
_atom_site_fract_x
_atom_site_fract_y
_atom_site_fract_z
Ba1 0.000 0.500 0.000
Zr1 0.000 0.000 0.500
Co1 0.500 0.500 0.500
Tc1 0.500 0.500 0.000

# 7
# BaCo4Te | Alexandria | PBE-GGA | optimized geometry
# Formation energy without anion corrections in eV per atom: 0.461
data_BaCo4Te
_space_group_name_H-M_alt 'F -4 3 m'
_space_group_IT_number 216
_space_group_name_Hall 'F -4 2 3'
_cell_length_a 7.499
_cell_length_b 7.499
_cell_length_c 7.499
_cell_angle_alpha 90.00
_cell_angle_beta 90.00
_cell_angle_gamma 90.00
loop_
_atom_site_label
_atom_site_fract_x
_atom_site_fract_y
_atom_site_fract_z
Ba1 0.000 0.000 0.000
Co1 0.124 0.124 0.624
Te1 0.250 0.250 0.250

# 8
# BaCo3Te | Alexandria | PBE-GGA | optimized geometry
# Formation energy without anion corrections in eV per atom: 0.559
# Offset from the most stable computed form in eV per atom: 0.000
data_BaCo3Te
_space_group_name_H-M_alt 'P m -3 m'
_space_group_IT_number 221
_space_group_name_Hall '-P 4 2 3'
_cell_length_a 4.824
_cell_length_b 4.824
_cell_length_c 4.824
_cell_angle_alpha 90.00
_cell_angle_beta 90.00
_cell_angle_gamma 90.00
loop_
_atom_site_label
_atom_site_fract_x
_atom_site_fract_y
_atom_site_fract_z
Ba1 0.000 0.000 0.000
Co1 0.000 0.500 0.500
Te1 0.500 0.500 0.500

# 9
# Ba3CoTe | Alexandria | PBE-GGA | optimized geometry
# Formation energy without anion corrections in eV per atom: -0.343
# Offset from the most stable computed form in eV per atom: 0.000
data_Ba3CoTe
_space_group_name_H-M_alt 'P m -3 m'
_space_group_IT_number 221
_space_group_name_Hall '-P 4 2 3'
_cell_length_a 5.744
_cell_length_b 5.744
_cell_length_c 5.744
_cell_angle_alpha 90.00
_cell_angle_beta 90.00
_cell_angle_gamma 90.00
loop_
_atom_site_label
_atom_site_fract_x
_atom_site_fract_y
_atom_site_fract_z
Ba1 0.000 0.000 0.500
Co1 0.000 0.000 0.000
Te1 0.500 0.500 0.500

# 10
# BaCoTe3 | Alexandria | PBE-GGA | optimized geometry
# Formation energy without anion corrections in eV per atom: -0.493
# Offset from the most stable computed form in eV per atom: 0.000
data_BaCoTe3
_space_group_name_H-M_alt 'P m -3 m'
_space_group_IT_number 221
_space_group_name_Hall '-P 4 2 3'
_cell_length_a 5.260
_cell_length_b 5.260
_cell_length_c 5.260
_cell_angle_alpha 90.00
_cell_angle_beta 90.00
_cell_angle_gamma 90.00
loop_
_atom_site_label
_atom_site_fract_x
_atom_site_fract_y
_atom_site_fract_z
Ba1 0.000 0.000 0.000
Co1 0.500 0.500 0.500
Te1 0.000 0.500 0.500

# 11
# Ba4CoTe2 | Alexandria | PBE-GGA | optimized geometry
# Formation energy without anion corrections in eV per atom: -0.740
data_Ba4CoTe2
_space_group_name_H-M_alt 'I 4/m m m'
_space_group_IT_number 139
_space_group_name_Hall '-I 4 2'
_cell_length_a 5.488
_cell_length_b 5.488
_cell_length_c 18.592
_cell_angle_alpha 90.00
_cell_angle_beta 90.00
_cell_angle_gamma 90.00
loop_
_atom_site_label
_atom_site_fract_x
_atom_site_fract_y
_atom_site_fract_z
Ba1 0.000 0.000 0.169
Ba2 0.000 0.500 0.000
Co1 0.000 0.000 0.000
Te1 0.000 0.000 0.360

# 12
# BaCo3Te | Alexandria | PBE-GGA | optimized geometry
# Formation energy without anion corrections in eV per atom: 1.948
# Offset from the most stable computed form in eV per atom: 1.389
data_BaCo3Te
_space_group_name_H-M_alt 'P m -3 m'
_space_group_IT_number 221
_space_group_name_Hall '-P 4 2 3'
_cell_length_a 4.940
_cell_length_b 4.940
_cell_length_c 4.940
_cell_angle_alpha 90.00
_cell_angle_beta 90.00
_cell_angle_gamma 90.00
loop_
_atom_site_label
_atom_site_fract_x
_atom_site_fract_y
_atom_site_fract_z
Ba1 0.000 0.000 0.000
Co1 0.000 0.000 0.500
Te1 0.500 0.500 0.500

# 13
# Ba3Co5Te12 | Alexandria | PBE-GGA | optimized geometry
# Formation energy without anion corrections in eV per atom: -0.355
data_Ba3Co5Te12
_space_group_name_H-M_alt 'I a -3 d'
_space_group_IT_number 230
_space_group_name_Hall '-I 4bd 2c 3'
_cell_length_a 16.951
_cell_length_b 16.951
_cell_length_c 16.951
_cell_angle_alpha 90.00
_cell_angle_beta 90.00
_cell_angle_gamma 90.00
loop_
_atom_site_label
_atom_site_fract_x
_atom_site_fract_y
_atom_site_fract_z
Ba1 0.000 0.250 0.125
Co1 0.000 0.000 0.000
Co2 0.000 0.250 0.375
Te1 0.044 0.051 0.640

# 14
# Ba4CoTe | Alexandria | PBE-GGA | optimized geometry
# Formation energy without anion corrections in eV per atom: 0.511
data_Ba4CoTe
_space_group_name_H-M_alt 'F -4 3 m'
_space_group_IT_number 216
_space_group_name_Hall 'F -4 2 3'
_cell_length_a 10.099
_cell_length_b 10.099
_cell_length_c 10.099
_cell_angle_alpha 90.00
_cell_angle_beta 90.00
_cell_angle_gamma 90.00
loop_
_atom_site_label
_atom_site_fract_x
_atom_site_fract_y
_atom_site_fract_z
Ba1 0.125 0.125 0.125
Co1 0.250 0.250 0.750
Te1 0.000 0.000 0.500

# 15
# BaCoTe3 | Alexandria | PBE-GGA | optimized geometry
# Formation energy without anion corrections in eV per atom: 1.017
# Offset from the most stable computed form in eV per atom: 1.510
data_BaCoTe3
_space_group_name_H-M_alt 'P m -3 m'
_space_group_IT_number 221
_space_group_name_Hall '-P 4 2 3'
_cell_length_a 6.450
_cell_length_b 6.450
_cell_length_c 6.450
_cell_angle_alpha 90.00
_cell_angle_beta 90.00
_cell_angle_gamma 90.00
loop_
_atom_site_label
_atom_site_fract_x
_atom_site_fract_y
_atom_site_fract_z
Ba1 0.000 0.000 0.000
Co1 0.500 0.500 0.500
Te1 0.000 0.000 0.500

# 16
# BaV2CoTe | Alexandria | PBE-GGA | optimized geometry
# Formation energy without anion corrections in eV per atom: 1.331
data_BaV2CoTe
_space_group_name_H-M_alt 'P 4/m m m'
_space_group_IT_number 123
_space_group_name_Hall '-P 4 2'
_cell_length_a 5.094
_cell_length_b 5.094
_cell_length_c 6.583
_cell_angle_alpha 90.00
_cell_angle_beta 90.00
_cell_angle_gamma 90.00
loop_
_atom_site_label
_atom_site_fract_x
_atom_site_fract_y
_atom_site_fract_z
Ba1 0.000 0.000 0.000
V1 0.000 0.500 0.500
Co1 0.500 0.500 0.000
Te1 0.000 0.000 0.500

# 17
# BaVCo2Te | Alexandria | PBE-GGA | optimized geometry
# Formation energy without anion corrections in eV per atom: 0.905
data_BaVCo2Te
_space_group_name_H-M_alt 'P 4/m m m'
_space_group_IT_number 123
_space_group_name_Hall '-P 4 2'
_cell_length_a 4.535
_cell_length_b 4.535
_cell_length_c 6.000
_cell_angle_alpha 90.00
_cell_angle_beta 90.00
_cell_angle_gamma 90.00
loop_
_atom_site_label
_atom_site_fract_x
_atom_site_fract_y
_atom_site_fract_z
Ba1 0.000 0.000 0.000
V1 0.000 0.000 0.500
Co1 0.000 0.500 0.500
Te1 0.500 0.500 0.000

# 18
# Ba2ZnCoTe | Alexandria | PBE-GGA | optimized geometry
# Formation energy without anion corrections in eV per atom: -0.454
data_Ba2ZnCoTe
_space_group_name_H-M_alt 'P 4/m m m'
_space_group_IT_number 123
_space_group_name_Hall '-P 4 2'
_cell_length_a 5.827
_cell_length_b 5.827
_cell_length_c 4.678
_cell_angle_alpha 90.00
_cell_angle_beta 90.00
_cell_angle_gamma 90.00
loop_
_atom_site_label
_atom_site_fract_x
_atom_site_fract_y
_atom_site_fract_z
Ba1 0.000 0.500 0.000
Zn1 0.000 0.000 0.500
Co1 0.000 0.000 0.000
Te1 0.500 0.500 0.500

# 19
# Ba2TiCo | Alexandria | PBE-GGA | optimized geometry
# Offset from the most stable computed form in eV per atom: 0.000
# DFT formation energy in meV per atom: 517
data_Ba2TiCo
_space_group_name_H-M_alt 'I -4 2 d'
_space_group_IT_number 122
_space_group_name_Hall 'I -4 2bw'
_cell_length_a 12.201
_cell_length_b 12.201
_cell_length_c 4.352
_cell_angle_alpha 90.00
_cell_angle_beta 90.00
_cell_angle_gamma 90.00
loop_
_atom_site_label
_atom_site_fract_x
_atom_site_fract_y
_atom_site_fract_z
Ba1 0.072 0.250 0.125
Ti1 0.000 0.000 0.500
Co1 0.000 0.000 0.000

# 20
# BaTiCo3 | Alexandria | PBE-GGA | optimized geometry
# Offset from the most stable computed form in eV per atom: 0.000
# DFT formation energy in meV per atom: 708
data_BaTiCo3
_space_group_name_H-M_alt 'P m -3 m'
_space_group_IT_number 221
_space_group_name_Hall '-P 4 2 3'
_cell_length_a 4.584
_cell_length_b 4.584
_cell_length_c 4.584
_cell_angle_alpha 90.00
_cell_angle_beta 90.00
_cell_angle_gamma 90.00
loop_
_atom_site_label
_atom_site_fract_x
_atom_site_fract_y
_atom_site_fract_z
Ba1 0.000 0.000 0.000
Ti1 0.500 0.500 0.500
Co1 0.000 0.500 0.500

no.,density of states at the Fermi level (states/eV per cell)
1,8.53
2,11.44
3,10.30
4,7.65
5,8.40
6,8.20
7,37.93
8,3.00
9,3.37
10,6.26
11,9.42
12,6.23
13,165.27
14,25.39
15,12.30
16,10.68
17,6.00
18,3.20
19,22.17
20,3.68